A) {"formula": "AgNClF", "functional": "PBE", "state": "optimized geometry", "cell": [[-3.397, 0.154, -0.688], [1.101, -1.327, 3.011], [-0.840, 17.708, 8.110]], "species": ["Ag", "Ag", "Ag", "N", "N", "N", "Cl", "Cl", "Cl", "F", "F", "F"], "fractional_positions": [[0.000, 0.000, 0.454], [0.333, 0.667, 0.121], [0.667, 0.333, 0.788], [0.000, 0.000, 0.070], [0.333, 0.667, 0.736], [0.667, 0.333, 0.403], [0.000, 0.000, 0.985], [0.333, 0.667, 0.652], [0.667, 0.333, 0.319], [0.000, 0.000, 0.848], [0.333, 0.667, 0.515], [0.667, 0.333, 0.182]], "space_group": "R3m (160)"}

B) {"formula": "AgNClF", "functional": "PBE", "state": "optimized geometry", "cell": [[-2.277, 2.895, -1.985], [-3.814, -2.106, -1.422], [-4.464, 1.283, 2.645]], "species": ["Ag", "N", "Cl", "F"], "fractional_positions": [[0.011, 0.798, 0.328], [0.451, 0.988, 0.347], [0.466, 0.383, 0.064], [0.298, 0.067, 0.619]], "space_group": "P1 (1)"}

We find A) to be the most stable, with the next structure 269 meV per atom higher.

A) {"formula": "NaAgClF", "functional": "PBE", "state": "optimized geometry", "cell": [[3.525, 0.000, 0.000], [0.000, 3.372, 0.000], [0.000, 0.000, 6.946]], "species": ["Na", "Ag", "Cl", "F"], "fractional_positions": [[0.000, 0.000, 0.832], [0.500, 0.500, 0.414], [0.000, 0.500, 0.154], [0.500, 0.500, 0.734]], "space_group": "Pmm2 (25)"}

B) {"formula": "NaAgClF", "functional": "PBE", "state": "optimized geometry", "cell": [[-0.189, -4.537, 0.488], [1.407, -1.939, 3.888], [-3.040, -1.865, 2.852]], "species": ["Na", "F", "Ag", "Cl"], "fractional_positions": [[0.750, 0.750, 0.750], [0.500, 0.500, 0.500], [0.250, 0.250, 0.250], [0.000, 0.000, 0.000]], "space_group": "F-43m (216)"}

We find A) to be the most stable, with the next structure 85 meV per atom higher.